1.
YAlCl2: optimized geometry, PBE.

Geometry as CIF:
```
data_YAlCl2
_cell_length_a 3.4865
_cell_length_b 3.4865
_cell_length_c 29.2061
_cell_angle_alpha 90.00
_cell_angle_beta 90.00
_cell_angle_gamma 120.00
_symmetry_space_group_name_H-M 'P 1'
_symmetry_Int_Tables_number 1
_symmetry_space_group_name_Hall 'P 1'
loop_
_atom_site_label
_atom_site_fract_x
_atom_site_fract_y
_atom_site_fract_z
Y1 0.0000 0.0000 0.0000
Y2 0.3333 0.6667 0.6667
Y3 0.6667 0.3333 0.3333
Al1 0.0000 0.0000 0.5000
Al2 0.3333 0.6667 0.1667
Al3 0.6667 0.3333 0.8333
Cl1 0.0000 0.0000 0.3980
Cl2 0.0000 0.0000 0.6020
Cl3 0.3333 0.6667 0.0646
Cl4 0.3333 0.6667 0.2687
Cl5 0.6667 0.3333 0.7313
Cl6 0.6667 0.3333 0.9354
```

Properties
E_tot (eV per atom): -4.52
Space group: R-3m, No. 166


2.
YAlCl2: optimized geometry, PBE.

Geometry as CIF:
```
data_YAlCl2
_cell_length_a 5.2791
_cell_length_b 3.7146
_cell_length_c 9.8351
_cell_angle_alpha 90.00
_cell_angle_beta 90.00
_cell_angle_gamma 90.00
_symmetry_space_group_name_H-M 'P 1'
_symmetry_Int_Tables_number 1
_symmetry_space_group_name_Hall 'P 1'
loop_
_atom_site_label
_atom_site_fract_x
_atom_site_fract_y
_atom_site_fract_z
Y1 0.0000 0.0000 0.0000
Y2 0.0000 0.5000 0.5000
Al1 0.5000 0.0000 0.4262
Al2 0.5000 0.5000 0.9262
Cl1 0.0000 0.0000 0.7110
Cl2 0.0000 0.5000 0.2110
Cl3 0.5000 0.0000 0.1151
Cl4 0.5000 0.5000 0.6151
```

Properties
E_tot (eV per atom): -4.53
Space group: Amm2, No. 38


3.
YAlCl2: optimized geometry, PBE.

Geometry as CIF:
```
data_YAlCl2
_cell_length_a 12.9850
_cell_length_b 3.4528
_cell_length_c 5.3819
_cell_angle_alpha 90.00
_cell_angle_beta 101.64
_cell_angle_gamma 90.00
_symmetry_space_group_name_H-M 'P 1'
_symmetry_Int_Tables_number 1
_symmetry_space_group_name_Hall 'P 1'
loop_
_atom_site_label
_atom_site_fract_x
_atom_site_fract_y
_atom_site_fract_z
Y1 0.0000 0.0000 0.0000
Y2 0.5000 0.5000 0.0000
Al1 0.0000 0.5000 0.5000
Al2 0.5000 0.0000 0.5000
Cl1 0.1568 0.5000 0.2059
Cl2 0.3432 0.0000 0.7941
Cl3 0.6568 0.0000 0.2059
Cl4 0.8432 0.5000 0.7941
```

Properties
E_tot (eV per atom): -4.54
Space group: C2/m, No. 12


4.
YAlCl2: optimized geometry, PBE.

Geometry as CIF:
```
data_YAlCl2
_cell_length_a 7.2461
_cell_length_b 7.2461
_cell_length_c 7.2461
_cell_angle_alpha 90.00
_cell_angle_beta 90.00
_cell_angle_gamma 90.00
_symmetry_space_group_name_H-M 'P 1'
_symmetry_Int_Tables_number 1
_symmetry_space_group_name_Hall 'P 1'
loop_
_atom_site_label
_atom_site_fract_x
_atom_site_fract_y
_atom_site_fract_z
Y1 0.0000 0.0000 0.0000
Y2 0.0000 0.5000 0.5000
Y3 0.5000 0.0000 0.5000
Y4 0.5000 0.5000 0.0000
Al1 0.2500 0.2500 0.7500
Al2 0.2500 0.7500 0.2500
Al3 0.7500 0.2500 0.2500
Al4 0.7500 0.7500 0.7500
Cl1 0.0000 0.0000 0.5000
Cl2 0.0000 0.5000 0.0000
Cl3 0.2500 0.2500 0.2500
Cl4 0.2500 0.7500 0.7500
Cl5 0.5000 0.0000 0.0000
Cl6 0.5000 0.5000 0.5000
Cl7 0.7500 0.2500 0.7500
Cl8 0.7500 0.7500 0.2500
```

Properties
E_tot (eV per atom): -3.89
Space group: F-43m, No. 216


5.
YAl2Cl: optimized geometry, PBE.

Geometry as CIF:
```
data_YAl2Cl
_cell_length_a 7.2589
_cell_length_b 7.2589
_cell_length_c 7.2589
_cell_angle_alpha 90.00
_cell_angle_beta 90.00
_cell_angle_gamma 90.00
_symmetry_space_group_name_H-M 'P 1'
_symmetry_Int_Tables_number 1
_symmetry_space_group_name_Hall 'P 1'
loop_
_atom_site_label
_atom_site_fract_x
_atom_site_fract_y
_atom_site_fract_z
Y1 0.0000 0.0000 0.0000
Y2 0.0000 0.5000 0.5000
Y3 0.5000 0.0000 0.5000
Y4 0.5000 0.5000 0.0000
Al1 0.2500 0.2500 0.2500
Al2 0.2500 0.2500 0.7500
Al3 0.2500 0.7500 0.2500
Al4 0.2500 0.7500 0.7500
Al5 0.7500 0.2500 0.2500
Al6 0.7500 0.2500 0.7500
Al7 0.7500 0.7500 0.2500
Al8 0.7500 0.7500 0.7500
Cl1 0.0000 0.0000 0.5000
Cl2 0.0000 0.5000 0.0000
Cl3 0.5000 0.0000 0.0000
Cl4 0.5000 0.5000 0.5000
```

Properties
E_tot (eV per atom): -3.82
Space group: Fm-3m, No. 225


6.
YAl2Cl: optimized geometry, PBE.

Geometry as CIF:
```
data_YAl2Cl
_cell_length_a 3.3025
_cell_length_b 3.3025
_cell_length_c 9.1961
_cell_angle_alpha 90.00
_cell_angle_beta 90.00
_cell_angle_gamma 90.00
_symmetry_space_group_name_H-M 'P 1'
_symmetry_Int_Tables_number 1
_symmetry_space_group_name_Hall 'P 1'
loop_
_atom_site_label
_atom_site_fract_x
_atom_site_fract_y
_atom_site_fract_z
Y1 0.0000 0.0000 0.0000
Al1 0.0000 0.0000 0.3999
Al2 0.5000 0.5000 0.2290
Cl1 0.5000 0.5000 0.8177
```

Properties
E_tot (eV per atom): -4.48
Space group: P4mm, No. 99


7.
YAlCl2: optimized geometry, PBE.

Geometry as CIF:
```
data_YAlCl2
_cell_length_a 3.7062
_cell_length_b 3.7062
_cell_length_c 6.7320
_cell_angle_alpha 90.00
_cell_angle_beta 90.00
_cell_angle_gamma 90.00
_symmetry_space_group_name_H-M 'P 1'
_symmetry_Int_Tables_number 1
_symmetry_space_group_name_Hall 'P 1'
loop_
_atom_site_label
_atom_site_fract_x
_atom_site_fract_y
_atom_site_fract_z
Y1 0.0000 0.0000 0.0000
Al1 0.5000 0.5000 0.2982
Cl1 0.0000 0.0000 0.5862
Cl2 0.5000 0.5000 0.8682
```

Properties
E_tot (eV per atom): -4.47
Space group: P4mm, No. 99


8.
YAl4Cl: optimized geometry, PBE.

Geometry as CIF:
```
data_YAl4Cl
_cell_length_a 5.5739
_cell_length_b 5.5739
_cell_length_c 5.5739
_cell_angle_alpha 60.00
_cell_angle_beta 60.00
_cell_angle_gamma 60.00
_symmetry_space_group_name_H-M 'P 1'
_symmetry_Int_Tables_number 1
_symmetry_space_group_name_Hall 'P 1'
loop_
_atom_site_label
_atom_site_fract_x
_atom_site_fract_y
_atom_site_fract_z
Y1 0.0000 0.0000 0.0000
Al1 0.1218 0.6261 0.6261
Al2 0.6261 0.1218 0.6261
Al3 0.6261 0.6261 0.1218
Al4 0.6261 0.6261 0.6261
Cl1 0.2500 0.2500 0.2500
```

Properties
E_tot (eV per atom): -4.12
Space group: F-43m, No. 216